Run A
Compound: LiAgF3
Source: Alexandria via LeMat-Bulk
Functional: GGA-PBE
Structure: relaxed

abc: 5.4078 5.4078 15.1274
angles: 90.00 90.00 120.00
Each line ends with the local moment (μB).
Fractional coordinates of all 30 atoms:
F1 0.9421 0.2858 0.0099  0.12
F2 0.0000 0.2629 0.3333  0.16
F3 0.2858 0.3437 0.8433  0.12
F4 0.7371 0.0000 0.5000  0.16
F5 0.0000 0.7371 0.8333  0.16
F6 0.3437 0.0579 0.6766  0.12
F7 0.2629 0.0000 0.0000  0.16
F8 0.9421 0.6563 0.1567  0.12
F9 0.6563 0.7142 0.9901  0.12
F10 0.0579 0.7142 0.5099  0.12
F11 0.3437 0.2858 0.4901  0.12
F12 0.7142 0.0579 0.8234  0.12
F13 0.7142 0.6563 0.3433  0.12
F14 0.6563 0.9421 0.1766  0.12
F15 0.0579 0.3437 0.6567  0.12
F16 0.2629 0.2629 0.1667  0.16
F17 0.2858 0.9421 0.3234  0.12
F18 0.7371 0.7371 0.6667  0.16
Li1 0.0343 0.0686 0.7500  0.00
Li2 0.9314 0.9657 0.0833  0.00
Li3 0.0686 0.0343 0.5833  0.00
Li4 0.9657 0.0343 0.9167  0.00
Li5 0.0343 0.9657 0.4167  0.00
Li6 0.9657 0.9314 0.2500  0.00
Ag1 0.3074 0.6147 0.2500  0.55
Ag2 0.6926 0.3074 0.4167  0.55
Ag3 0.3853 0.6926 0.5833  0.55
Ag4 0.3074 0.6926 0.9167  0.55
Ag5 0.6147 0.3074 0.0833  0.55
Ag6 0.6926 0.3853 0.7500  0.55

- symmetry = P6_122 (178)
- M_tot (Bohr magnetons per cell) = 5.930

Run B
Compound: LiAgF3
Source: Alexandria via LeMat-Bulk
Functional: GGA-PBE
Structure: relaxed

abc: 5.5305 5.6897 8.3506
angles: 90.00 94.67 89.99
Each line ends with the local moment (μB).
Fractional coordinates of all 20 atoms:
Li1 0.4770 0.5286 0.2144  0.00
Li2 0.5230 0.4714 0.7856  0.00
Li3 0.9769 0.9711 0.7144  0.00
Li4 0.0231 0.0289 0.2856  0.00
F1 0.2073 0.1431 0.8586  -0.08
F2 0.6849 0.1838 0.6971  0.08
F3 0.6589 0.3347 0.0193  0.00
F4 0.2923 0.6434 0.6416  -0.08
F5 0.3151 0.8162 0.3029  0.08
F6 0.1851 0.3162 0.1971  0.08
F7 0.3411 0.6653 0.9807  0.00
F8 0.8149 0.6838 0.8029  0.08
F9 0.8411 0.8348 0.4805  0.00
F10 0.1589 0.1652 0.5195  0.00
F11 0.7077 0.3566 0.3584  -0.08
F12 0.7927 0.8569 0.1414  -0.08
Ag1 0.5000 0.0000 0.0000  -0.35
Ag2 0.5000 0.0000 0.5000  0.38
Ag3 0.0000 0.5000 0.5000  -0.35
Ag4 0.0000 0.5000 0.0000  0.38

- symmetry = P2_1/c (14)
- M_tot (Bohr magnetons per cell) = 0.059

Run C
Compound: LiAgF3
Source: Alexandria via LeMat-Bulk
Functional: GGA-PBE
Structure: relaxed

abc: 3.0822 5.6425 8.8698
angles: 110.99 90.00 90.00
Each line ends with the local moment (μB).
Fractional coordinates of all 10 atoms:
F1 0.2500 0.7958 0.0142  0.17
F2 0.7500 0.2042 0.9858  0.17
F3 0.7500 0.9737 0.6223  0.11
F4 0.2500 0.0263 0.3777  0.11
F5 0.7500 0.4565 0.6644  0.11
F6 0.2500 0.5435 0.3356  0.11
Li1 0.2500 0.2213 0.6105  0.00
Li2 0.7500 0.7787 0.3895  0.00
Ag1 0.2500 0.1691 0.1837  0.45
Ag2 0.7500 0.8309 0.8163  0.45

- symmetry = P2_1/m (11)
- M_tot (Bohr magnetons per cell) = 1.748

Run D
Compound: LiAgF3
Source: Alexandria via LeMat-Bulk
Functional: GGA-PBE
Structure: relaxed

abc: 5.6358 5.2339 9.9465
angles: 57.63 90.00 90.00
Fractional coordinates of all 20 atoms:
Li1 0.5000 0.5000 0.5000
Li2 0.0000 0.0000 0.5000
Li3 0.5000 0.0000 0.0000
Li4 0.0000 0.5000 0.0000
F1 0.7897 0.7739 0.4257
F2 0.7171 0.1216 0.5789
F3 0.2103 0.2261 0.5743
F4 0.7103 0.7739 0.9257
F5 0.9058 0.4179 0.2503
F6 0.2897 0.2261 0.0743
F7 0.4058 0.5821 0.2497
F8 0.0942 0.5821 0.7497
F9 0.2829 0.8784 0.4211
F10 0.2171 0.8784 0.9211
F11 0.5942 0.4179 0.7503
F12 0.7829 0.1216 0.0789
Ag1 0.0793 0.7237 0.2973
Ag2 0.5793 0.2763 0.2027
Ag3 0.4207 0.7237 0.7973
Ag4 0.9207 0.2763 0.7027

- symmetry = P2_1/c (14)
- M_tot (Bohr magnetons per cell) = 0.000

Most stable = run B

Run A
Compound: LiAgF3
Source: Alexandria via LeMat-Bulk
Functional: GGA-PBE
Structure: relaxed

abc: 4.3345 4.3345 4.3345
angles: 90.00 90.00 90.00
Fractional coordinates of all 5 atoms:
F1 0.0000 0.0000 0.5000
F2 0.5000 0.0000 0.0000
F3 0.0000 0.5000 0.0000
Ag1 0.0000 0.0000 0.0000
Li1 0.5000 0.5000 0.5000

- symmetry = Pm-3m (221)
- M_tot (Bohr magnetons per cell) = 0.000

Run B
Compound: LiAgF3
Source: Alexandria via LeMat-Bulk
Functional: GGA-PBE
Structure: relaxed

abc: 6.7875 6.7875 6.0860
angles: 87.31 87.31 87.42
Each line ends with the local moment (μB).
Fractional coordinates of all 20 atoms:
Li1 0.2676 0.0966 0.6875  0.00
Li2 0.9034 0.7324 0.8125  0.00
Li3 0.7324 0.9034 0.3125  0.00
Li4 0.0966 0.2676 0.1875  0.00
F1 0.1992 0.0675 0.3866  0.09
F2 0.0675 0.1992 0.8866  0.09
F3 0.8762 0.3738 0.3560  -0.11
F4 0.4734 0.2920 0.6599  0.01
F5 0.5266 0.7080 0.3401  0.01
F6 0.6262 0.1238 0.1440  -0.11
F7 0.7080 0.5266 0.8401  0.01
F8 0.2920 0.4734 0.1599  0.01
F9 0.3738 0.8762 0.8560  -0.11
F10 0.9325 0.8008 0.1134  0.09
F11 0.1238 0.6262 0.6440  -0.11
F12 0.8008 0.9325 0.6134  0.09
Ag1 0.5919 0.4081 0.2500  -0.37
Ag2 0.7830 0.2170 0.7500  0.43
Ag3 0.4081 0.5919 0.7500  -0.37
Ag4 0.2170 0.7830 0.2500  0.43

- symmetry = C2/c (15)
- M_tot (Bohr magnetons per cell) = 0.072

Most stable = run B

Run A
Compound: LiAgF3
Source: Alexandria via LeMat-Bulk
Functional: GGA-PBE
Structure: relaxed

abc: 5.4308 5.7202 5.4430
angles: 63.42 61.78 85.51
Each line ends with the local moment (μB).
Fractional coordinates of all 10 atoms:
F1 0.2993 0.7643 0.7503  0.14
F2 0.4054 0.2040 0.8687  0.14
F3 0.9394 0.7544 0.5015  0.17
F4 0.0606 0.2456 0.4985  0.17
F5 0.7007 0.2357 0.2498  0.14
F6 0.5946 0.7959 0.1313  0.14
Ag1 0.1628 0.4592 0.6955  0.54
Ag2 0.8373 0.5409 0.3045  0.54
Li1 0.3756 0.0596 0.2891  0.00
Li2 0.6244 0.9404 0.7109  0.00

- symmetry = P-1 (2)
- M_tot (Bohr magnetons per cell) = 2.050

Run B
Compound: LiAgF3
Source: Alexandria via LeMat-Bulk
Functional: GGA-PBE
Structure: relaxed

abc: 5.9735 5.9735 5.9735
angles: 54.38 54.38 54.38
Fractional coordinates of all 10 atoms:
F1 0.7296 0.4323 0.0967
F2 0.5967 0.9323 0.2296
F3 0.9323 0.2296 0.5967
F4 0.2296 0.5967 0.9323
F5 0.0967 0.7296 0.4323
F6 0.4323 0.0967 0.7296
Ag1 0.0116 0.0116 0.0116
Ag2 0.5116 0.5116 0.5116
Li1 0.2992 0.2992 0.2992
Li2 0.7992 0.7992 0.7992

- symmetry = R3c (161)
- M_tot (Bohr magnetons per cell) = 0.000

Run C
Compound: LiAgF3
Source: Alexandria via LeMat-Bulk
Functional: GGA-PBE
Structure: relaxed

abc: 6.5441 6.5441 3.1817
angles: 90.00 90.00 106.02
Each line ends with the local moment (μB).
Fractional coordinates of all 10 atoms:
F1 0.0510 0.3255 0.5000  0.10
F2 0.3556 0.6444 0.0000  0.17
F3 0.3255 0.0510 0.5000  0.10
F4 0.9490 0.6745 0.5000  0.10
F5 0.6745 0.9490 0.5000  0.10
F6 0.6444 0.3556 0.0000  0.17
Ag1 0.0000 0.0000 0.5000  0.41
Ag2 0.5000 0.5000 0.5000  0.46
Li1 0.5000 0.0000 0.0000  0.00
Li2 0.0000 0.5000 0.0000  0.00

- symmetry = Cmmm (65)
- M_tot (Bohr magnetons per cell) = 1.638

Most stable = run C